CaRe2Ag after structural relaxation. Source: Alexandria, functional PBEsol.

The space group is P4/mmm (No. 123) and the conventional cell measures 3.433, 3.433 and 6.561 Å, with angles of 90.00, 90.00 and 90.00 degrees. The inequivalent atoms are Ca at (0.000, 0.000, 0.000), Re at (0.500, 0.500, 0.323) and Ag at (0.000, 0.000, 0.500).

The value obtained for the volume is 19.3 A^3/atom. The calculation puts the energy of formation from the pure elements at 24.09 kcal/mol of atoms. Its energy above the most stable polymorph in this dataset is 0.4413 eV per atom.